1.
VASP calculation (PBE) on an optimized crystal structure of MnMo2P.

Output
DFT formation energy ... -0.0842 eV per atom
Total magnetic moment ... 0.00 μB/f.u.

```
data_MnMo2P
_cell_length_a 2.789
_cell_length_b 2.789
_cell_length_c 6.922
_cell_angle_alpha 90.00
_cell_angle_beta 90.00
_cell_angle_gamma 90.00
_space_group_name_H-M_alt 'P 1'
_space_group_IT_number 1
_space_group_name_Hall 'P 1'
loop_
_atom_site_label
_atom_site_fract_x
_atom_site_fract_y
_atom_site_fract_z
Mn1 0.000 0.000 0.000
Mo1 0.000 0.000 0.576
Mo2 0.500 0.500 0.264
P1 0.500 0.500 0.837
```



2.
VASP calculation (PBE) on an optimized crystal structure of LiBe2Re.

Output
DFT formation energy ... 0.3197 eV per atom
Total magnetic moment ... 0.00 μB/f.u.

```
data_LiBe2Re
_cell_length_a 4.657
_cell_length_b 4.657
_cell_length_c 4.657
_cell_angle_alpha 147.12
_cell_angle_beta 127.65
_cell_angle_gamma 63.21
_space_group_name_H-M_alt 'P 1'
_space_group_IT_number 1
_space_group_name_Hall 'P 1'
loop_
_atom_site_label
_atom_site_fract_x
_atom_site_fract_y
_atom_site_fract_z
Li1 0.000 0.000 0.000
Be1 0.238 0.738 0.500
Be2 0.762 0.262 0.500
Re1 0.500 0.500 0.000
```



3.
VASP calculation (PBE) on an optimized crystal structure of Ce2HoThAs4.

Output
DFT formation energy ... -1.4523 eV per atom
Total magnetic moment ... 1.54 μB/f.u.

```
data_Ce2HoThAs4
_cell_length_a 7.266
_cell_length_b 4.207
_cell_length_c 7.297
_cell_angle_alpha 90.00
_cell_angle_beta 109.46
_cell_angle_gamma 90.00
_space_group_name_H-M_alt 'P 1'
_space_group_IT_number 1
_space_group_name_Hall 'P 1'
loop_
_atom_site_label
_atom_site_fract_x
_atom_site_fract_y
_atom_site_fract_z
Ce1 0.000 0.000 0.000
Ce2 0.500 0.500 0.000
Ho1 0.000 0.500 0.500
Th1 0.500 0.000 0.500
As1 0.245 0.000 0.746
As2 0.246 0.500 0.251
As3 0.754 0.500 0.749
As4 0.755 0.000 0.254
```



- What is the formula in the first record?
  MnMo2P



- What is the formula in the third record?
  Ce2HoThAs4



What did the first record say?
VASP calculation (PBE) on an optimized crystal structure of MnMo2P.

Output
DFT formation energy ... -0.0842 eV per atom
Total magnetic moment ... 0.00 μB/f.u.

```
data_MnMo2P
_cell_length_a 2.789
_cell_length_b 2.789
_cell_length_c 6.922
_cell_angle_alpha 90.00
_cell_angle_beta 90.00
_cell_angle_gamma 90.00
_space_group_name_H-M_alt 'P 1'
_space_group_IT_number 1
_space_group_name_Hall 'P 1'
loop_
_atom_site_label
_atom_site_fract_x
_atom_site_fract_y
_atom_site_fract_z
Mn1 0.000 0.000 0.000
Mo1 0.000 0.000 0.576
Mo2 0.500 0.500 0.264
P1 0.500 0.500 0.837
```